Entry 1:
# Dy3Sn3Pd

A relaxed Dy3Sn3Pd crystal (PBE, Alexandria).

Cell: 11.1997 4.5196 14.8306 Å, 90.00 108.80 90.00°
Space group C2/m (No. 12)
One atom of each set of equivalent atoms:
Dy (0.0294, 0.0000, 0.3815) [4 per cell]
Dy (0.0965, 0.0000, 0.9215) [4 per cell]
Dy (0.2351, 0.0000, 0.2306) [4 per cell]
Sn (0.0196, 0.5000, 0.2338) [4 per cell]
Sn (0.1303, 0.5000, 0.0757) [4 per cell]
Sn (0.1393, 0.5000, 0.5446) [4 per cell]
Pd (0.2360, 0.5000, 0.3883) [4 per cell]

Summary:
* ΔE_f: -0.80 eV per atom
* uncorrected energy: -5.23 eV per atom

---

Entry 2:
# DySnPd2

A relaxed DySnPd2 crystal (PBE, Alexandria).

Cell: 4.7985 4.7985 6.8066 Å, 90.00 90.00 90.00°
Space group I4/mmm (No. 139)
One atom of each set of equivalent atoms:
Dy (0.0000, 0.0000, 0.0000) [2 per cell]
Sn (0.0000, 0.0000, 0.5000) [2 per cell]
Pd (0.0000, 0.5000, 0.2500) [4 per cell]

Summary:
* ΔE_f: -0.87 eV per atom
* uncorrected energy: -5.61 eV per atom

---

Entry 3:
# Dy2SnPd

A relaxed Dy2SnPd crystal (PBE, Alexandria).

Cell: 3.5560 3.5560 7.6399 Å, 90.00 90.00 90.00°
Space group P4/mmm (No. 123)
One atom of each set of equivalent atoms:
Dy (0.0000, 0.0000, 0.2231) [2 per cell]
Sn (0.5000, 0.5000, 0.5000) [1 per cell]
Pd (0.5000, 0.5000, 0.0000) [1 per cell]

Summary:
* ΔE_f: -0.77 eV per atom
* uncorrected energy: -5.37 eV per atom

---

Entry 4:
# DySn6Pd

A relaxed DySn6Pd crystal (PBE, Alexandria).

Cell: 6.3134 10.9104 6.5703 Å, 90.00 114.12 90.00°
Space group C2/m (No. 12)
One atom of each set of equivalent atoms:
Dy (0.0000, 0.0000, 0.0000) [2 per cell]
Sn (0.0454, 0.5000, 0.2644) [4 per cell]
Sn (0.1234, 0.2301, 0.7486) [8 per cell]
Pd (0.0000, 0.0000, 0.5000) [2 per cell]

Summary:
* ΔE_f: -0.25 eV per atom
* uncorrected energy: -4.47 eV per atom

---

Entry 5:
# DyTmSnPd

A relaxed DyTmSnPd crystal (PBE, Alexandria).

Cell: 7.2459 7.2459 7.2459 Å, 90.00 90.00 90.00°
Space group F-43m (No. 216)
One atom of each set of equivalent atoms:
Dy (0.0000, 0.0000, 0.0000) [4 per cell]
Tm (0.0000, 0.0000, 0.5000) [4 per cell]
Sn (0.2500, 0.2500, 0.2500) [4 per cell]
Pd (0.2500, 0.2500, 0.7500) [4 per cell]

Summary:
* ΔE_f: -0.74 eV per atom
* uncorrected energy: -5.31 eV per atom

---

Entry 6:
# SrDyPd

A relaxed SrDyPd crystal (PBE, Alexandria).

Cell: 11.8352 3.8403 8.2741 Å, 90.00 92.40 90.00°
Space group C2/m (No. 12)
One atom of each set of equivalent atoms:
Sr (0.1376, 0.0000, 0.3603) [4 per cell]
Dy (0.1324, 0.0000, 0.8894) [4 per cell]
Pd (0.0827, 0.5000, 0.6515) [4 per cell]

Summary:
* polymorph energy (0 for the lowest one): 0.34 eV per formula unit
* ΔE_f: -0.35 eV per atom
* uncorrected energy: -4.17 eV per atom